Below is a relaxed structure of KMnBr2, with properties calculated at the PBEsol level.

Output
Total moment = 4.246 μB per cell
E above lowest polymorph = 0.00 eV/f.u.
Crystal system = tetragonal
Formation energy (no corrections) = -0.66 eV/atom

Lattice parameters (Å, degrees): 5.253 5.253 3.971 90.00 90.00 90.00
Space group P4/mmm (No. 123)
One atom of each set of equivalent atoms:
K 0.000 0.000 0.000 [1 per cell]
Mn 0.500 0.500 0.500 [1 per cell]
Br 0.000 0.500 0.500 [2 per cell]



Below is a relaxed structure of CdSbW, with properties calculated at the PBEsol level.

Output
Total moment = 0.000 μB per cell
E above lowest polymorph = 0.30 eV/f.u.
Crystal system = hexagonal
Formation energy (no corrections) = 0.70 eV/atom

Lattice parameters (Å, degrees): 4.8694 4.8694 2.8422 90.00 90.00 120.00
Space group P-6m2 (No. 187)
One atom of each set of equivalent atoms:
Cd 0.0000 0.0000 0.0000 [1 per cell]
Sb 0.3333 0.6667 0.5000 [1 per cell]
W 0.6667 0.3333 0.5000 [1 per cell]



Below is a relaxed structure of TaFeAu2, with properties calculated at the PBEsol level.

Output
E_form = 0.17 eV per atom
Total moment = 8.454 μB per cell
E above lowest polymorph = 0.57 eV/f.u.
Crystal system = trigonal

Lattice parameters (Å, degrees): 2.8417 2.8417 27.2595 90.00 90.00 120.00
Space group R-3m (No. 166, hexagonal axes)
One atom of each set of equivalent atoms:
Ta 0.0000 0.0000 0.0000 [3 per cell]
Fe 0.0000 0.0000 0.5000 [3 per cell]
Au 0.0000 0.0000 0.2457 [6 per cell]